Material: NaSmCu3
Method: DFT, PBE-GGA
State: relaxed

Unit cell a=4.631 b=4.631 c=4.631 alpha=90.00 beta=90.00 gamma=90.00
Space group Pm-3m (No. 221)
Symmetry-distinct sites (fractional):
Na1 0.000 0.000 0.000 x1
Sm1 0.500 0.500 0.500 x1
Cu1 0.000 0.000 0.500 x3

Output
The total energy is -2.804 eV per atom. Its crystal system is cubic.


Material: NaSmCuTe3
Method: DFT, PBE-GGA
State: relaxed

Unit cell a=11.542 b=4.211 c=14.596 alpha=90.00 beta=90.00 gamma=90.00
Space group Pnma (No. 62)
Symmetry-distinct sites (fractional):
Na1 0.220 0.250 0.005 x4
Sm1 0.018 0.750 0.743 x4
Cu1 0.235 0.750 0.220 x4
Te1 0.054 0.750 0.111 x4
Te2 0.095 0.250 0.600 x4
Te3 0.235 0.250 0.332 x4

Output
The total energy is -4.034 eV per atom. Its crystal system is orthorhombic.


Material: NaSmCuTe3
Method: DFT, PBE-GGA
State: relaxed

Unit cell a=4.169 b=14.850 c=11.404 alpha=90.00 beta=90.00 gamma=90.00
Space group Cmcm (No. 63)
Symmetry-distinct sites (fractional):
Na1 0.000 0.245 0.250 x4
Sm1 0.000 0.000 0.000 x4
Cu1 0.000 0.472 0.750 x4
Te1 0.000 0.083 0.750 x4
Te2 0.000 0.356 0.575 x8

Output
The total energy is -4.034 eV per atom. Its crystal system is orthorhombic.


Material: NaSmCuTe3
Method: DFT, PBE-GGA
State: relaxed

Unit cell a=9.058 b=4.228 c=10.180 alpha=90.00 beta=106.96 gamma=90.00
Space group P2_1/m (No. 11)
Symmetry-distinct sites (fractional):
Na1 0.215 0.250 0.254 x2
Sm1 0.315 0.750 0.847 x2
Cu1 0.083 0.250 0.594 x2
Te1 0.066 0.250 0.848 x2
Te2 0.220 0.750 0.524 x2
Te3 0.436 0.750 0.169 x2

Output
The total energy is -4.034 eV per atom. Its crystal system is monoclinic.


Material: NaCu2Sn2
Method: DFT, PBE-GGA
State: relaxed

Unit cell a=4.316 b=4.316 c=11.603 alpha=90.00 beta=90.00 gamma=90.00
Space group I4/mmm (No. 139)
Symmetry-distinct sites (fractional):
Na1 0.000 0.000 0.000 x2
Cu1 0.000 0.500 0.250 x4
Sn1 0.000 0.000 0.376 x4

Output
The total energy is -3.343 eV per atom. Its crystal system is tetragonal.


Material: NaCu3SnTe4
Method: DFT, PBE-GGA
State: relaxed

Unit cell a=6.436 b=6.436 c=6.436 alpha=90.00 beta=90.00 gamma=90.00
Space group P-43m (No. 215)
Symmetry-distinct sites (fractional):
Na1 0.000 0.000 0.000 x1
Cu1 0.000 0.500 0.500 x3
Sn1 0.500 0.500 0.500 x1
Te1 0.255 0.255 0.255 x4

Output
The total energy is -3.253 eV per atom. Its crystal system is cubic.


Material: NaCuSnTe3
Method: DFT, PBE-GGA
State: relaxed

Unit cell a=8.299 b=4.174 c=10.268 alpha=90.00 beta=103.57 gamma=90.00
Space group P2_1/m (No. 11)
Symmetry-distinct sites (fractional):
Na1 0.245 0.250 0.314 x2
Cu1 0.057 0.250 0.576 x2
Sn1 0.310 0.750 0.856 x2
Te1 0.050 0.250 0.835 x2
Te2 0.253 0.750 0.556 x2
Te3 0.423 0.750 0.151 x2

Output
The total energy is -3.394 eV per atom. Its crystal system is monoclinic.


Material: NaCu3SnTe4
Method: DFT, PBE-GGA
State: relaxed

Unit cell a=6.162 b=8.040 c=10.402 alpha=90.00 beta=106.95 gamma=90.00
Space group P2_1/m (No. 11)
Symmetry-distinct sites (fractional):
Na1 0.179 0.250 0.435 x2
Cu1 0.284 0.524 0.004 x4
Cu2 0.337 0.750 0.198 x2
Sn1 0.112 0.250 0.797 x2
Te1 0.034 0.250 0.063 x2
Te2 0.254 0.750 0.441 x2
Te3 0.396 0.521 0.775 x4

Output
The total energy is -3.378 eV per atom. Its crystal system is monoclinic.


Material: NaCuSnTe3
Method: DFT, PBE-GGA
State: relaxed

Unit cell a=13.853 b=4.344 c=11.340 alpha=90.00 beta=90.00 gamma=90.00
Space group Pnma (No. 62)
Symmetry-distinct sites (fractional):
Na1 0.168 0.250 0.002 x4
Cu1 0.230 0.750 0.802 x4
Sn1 0.019 0.750 0.330 x4
Te1 0.047 0.750 0.836 x4
Te2 0.131 0.250 0.480 x4
Te3 0.206 0.750 0.210 x4

Output
The total energy is -3.384 eV per atom. Its crystal system is orthorhombic.


Material: NaCuSnTe3
Method: DFT, PBE-GGA
State: relaxed

Unit cell a=4.107 b=14.108 c=11.733 alpha=90.00 beta=90.00 gamma=90.00
Space group Cmcm (No. 63)
Symmetry-distinct sites (fractional):
Na1 0.000 0.246 0.250 x4
Cu1 0.000 0.448 0.750 x4
Sn1 0.000 0.000 0.000 x4
Te1 0.000 0.067 0.750 x4
Te2 0.000 0.353 0.558 x8

Output
The total energy is -3.367 eV per atom. Its crystal system is orthorhombic.


Material: Na4ZnCuSn2
Method: DFT, PBE-GGA
State: relaxed

Unit cell a=4.928 b=4.928 c=6.982 alpha=90.00 beta=90.00 gamma=90.00
Space group P-4m2 (No. 115)
Symmetry-distinct sites (fractional):
Na1 0.000 0.000 0.000 x1
Na2 0.000 0.500 0.246 x2
Na3 0.500 0.500 0.500 x1
Zn1 0.000 0.000 0.500 x1
Cu1 0.500 0.500 0.000 x1
Sn1 0.000 0.500 0.757 x2

Output
The total energy is -2.343 eV per atom. Its crystal system is tetragonal.


Material: NaSrCu
Method: DFT, PBE-GGA
State: relaxed

Unit cell a=7.387 b=7.387 c=7.387 alpha=90.00 beta=90.00 gamma=90.00
Space group F-43m (No. 216)
Symmetry-distinct sites (fractional):
Na1 0.000 0.000 0.000 x4
Sr1 0.250 0.250 0.750 x4
Cu1 0.000 0.000 0.500 x4

Output
The total energy is -1.784 eV per atom. Its crystal system is cubic.


Material: NaSrCu
Method: DFT, PBE-GGA
State: relaxed

Unit cell a=7.167 b=7.167 c=7.167 alpha=90.00 beta=90.00 gamma=90.00
Space group F-43m (No. 216)
Symmetry-distinct sites (fractional):
Na1 0.000 0.000 0.000 x4
Sr1 0.250 0.250 0.250 x4
Cu1 0.250 0.250 0.750 x4

Output
The total energy is -1.829 eV per atom. Its crystal system is cubic.


Material: NaTbCu3Te4
Method: DFT, PBE-GGA
State: relaxed

Unit cell a=6.486 b=6.486 c=6.486 alpha=90.00 beta=90.00 gamma=90.00
Space group P-43m (No. 215)
Symmetry-distinct sites (fractional):
Na1 0.000 0.000 0.000 x1
Tb1 0.500 0.500 0.500 x1
Cu1 0.000 0.500 0.500 x3
Te1 0.250 0.250 0.250 x4

Output
The total energy is -3.680 eV per atom. Its crystal system is cubic.


Material: NaTbCuTe3
Method: DFT, PBE-GGA
State: relaxed

Unit cell a=9.173 b=4.188 c=9.972 alpha=90.00 beta=108.54 gamma=90.00
Space group P2_1/m (No. 11)
Symmetry-distinct sites (fractional):
Na1 0.201 0.250 0.218 x2
Tb1 0.319 0.750 0.844 x2
Cu1 0.083 0.250 0.586 x2
Te1 0.080 0.250 0.850 x2
Te2 0.220 0.750 0.516 x2
Te3 0.442 0.750 0.171 x2

Output
The total energy is -4.025 eV per atom. Its crystal system is monoclinic.


Material: NaCuTc
Method: DFT, PBE-GGA
State: relaxed

Unit cell a=6.089 b=6.089 c=6.089 alpha=90.00 beta=90.00 gamma=90.00
Space group F-43m (No. 216)
Symmetry-distinct sites (fractional):
Na1 0.000 0.000 0.000 x4
Cu1 0.250 0.250 0.250 x4
Tc1 0.000 0.000 0.500 x4

Output
The total energy is -3.877 eV per atom. Its crystal system is cubic.


Material: NaCuTcTe3
Method: DFT, PBE-GGA
State: relaxed

Unit cell a=12.800 b=3.928 c=11.878 alpha=90.00 beta=90.00 gamma=90.00
Space group Pnma (No. 62)
Symmetry-distinct sites (fractional):
Na1 0.166 0.250 0.011 x4
Cu1 0.242 0.750 0.190 x4
Tc1 0.038 0.250 0.341 x4
Te1 0.036 0.750 0.179 x4
Te2 0.085 0.250 0.569 x4
Te3 0.246 0.250 0.327 x4

Output
The total energy is -4.269 eV per atom. Its crystal system is orthorhombic.


Material: NaCuTcTe3
Method: DFT, PBE-GGA
State: relaxed

Unit cell a=3.868 b=14.616 c=10.366 alpha=90.00 beta=90.00 gamma=90.00
Space group Cmcm (No. 63)
Symmetry-distinct sites (fractional):
Na1 0.000 0.237 0.250 x4
Cu1 0.000 0.460 0.750 x4
Tc1 0.000 0.000 0.000 x4
Te1 0.000 0.078 0.750 x4
Te2 0.000 0.368 0.540 x8

Output
The total energy is -4.315 eV per atom. Its crystal system is orthorhombic.


Material: NaCuTcTe3
Method: DFT, PBE-GGA
State: relaxed

Unit cell a=8.039 b=3.864 c=10.050 alpha=90.00 beta=110.36 gamma=90.00
Space group P2_1/m (No. 11)
Symmetry-distinct sites (fractional):
Na1 0.226 0.250 0.207 x2
Cu1 0.421 0.250 0.890 x2
Tc1 0.204 0.750 0.674 x2
Te1 0.054 0.750 0.381 x2
Te2 0.236 0.750 0.950 x2
Te3 0.421 0.250 0.637 x2

Output
The total energy is -4.366 eV per atom. Its crystal system is monoclinic.


Material: Na2CuTe2
Method: DFT, PBE-GGA
State: relaxed

Unit cell a=11.081 b=3.948 c=6.507 alpha=90.00 beta=101.99 gamma=90.00
Space group C2/m (No. 12)
Symmetry-distinct sites (fractional):
Na1 0.153 0.000 0.220 x4
Cu1 0.000 0.500 0.500 x2
Te1 0.121 0.000 0.727 x4

Output
The total energy is -3.031 eV per atom. Its crystal system is monoclinic.


no.,mass density (g cm⁻³)
1,6.1
2,5.8
3,5.8
4,5.5
5,6.0
6,5.3
7,5.6
8,5.7
9,5.7
10,5.7
11,4.5
12,2.9
13,3.1
14,5.4
15,5.7
16,5.4
17,6.3
18,6.4
19,6.4
20,4.4